No. 1
# ErAl4Os PBE-GGA relaxed
data_ErAl4Os
_cell_length_a 6.586
_cell_length_b 6.586
_cell_length_c 11.100
_cell_angle_alpha 90.00
_cell_angle_beta 90.00
_cell_angle_gamma 90.00
_symmetry_space_group_name_H-M 'I 4/m c m'
_symmetry_Int_Tables_number 140
_symmetry_space_group_name_Hall '-I 4 2c'
loop_
_atom_site_label
_atom_site_fract_x
_atom_site_fract_y
_atom_site_fract_z
Er1 0.000 0.000 0.000
Al1 0.150 0.350 0.167
Os1 0.000 0.000 0.250
# * M_tot: 0.0 μB per formula unit
# * density of states at the Fermi level: 1.9 states/eV/f.u.
# * DFT formation energy: -136 kJ/mol of formula units

No. 2
# Er2AlOs PBE-GGA relaxed
data_Er2AlOs
_cell_length_a 3.2970
_cell_length_b 3.2970
_cell_length_c 30.9221
_cell_angle_alpha 90.00
_cell_angle_beta 90.00
_cell_angle_gamma 120.00
_symmetry_space_group_name_H-M 'R -3 m'
_symmetry_Int_Tables_number 166
_symmetry_space_group_name_Hall '-R 3 2"'
loop_
_atom_site_label
_atom_site_fract_x
_atom_site_fract_y
_atom_site_fract_z
Er1 0.0000 0.0000 0.0999
Al1 0.0000 0.0000 0.0000
Os1 0.0000 0.0000 0.5000
# * M_tot: 0.0 μB per formula unit
# * density of states at the Fermi level: 2.5 states/eV/f.u.
# * DFT formation energy: 121 kJ/mol of formula units

No. 3
# Er3AlOs PBE-GGA relaxed
data_Er3AlOs
_cell_length_a 6.406
_cell_length_b 9.351
_cell_length_c 15.872
_cell_angle_alpha 90.00
_cell_angle_beta 90.00
_cell_angle_gamma 90.00
_symmetry_space_group_name_H-M 'F m m m'
_symmetry_Int_Tables_number 69
_symmetry_space_group_name_Hall '-F 2 2'
loop_
_atom_site_label
_atom_site_fract_x
_atom_site_fract_y
_atom_site_fract_z
Er1 0.000 0.000 0.198
Er2 0.000 0.188 0.393
Al1 0.197 0.000 0.000
Os1 0.250 0.250 0.250
# * M_tot: 0.0 μB per formula unit
# * density of states at the Fermi level: 2.9 states/eV/f.u.
# * DFT formation energy: -163 kJ/mol of formula units

No. 4
# ErAlOs PBE-GGA relaxed
data_ErAlOs
_cell_length_a 8.286
_cell_length_b 4.856
_cell_length_c 3.112
_cell_angle_alpha 90.00
_cell_angle_beta 90.00
_cell_angle_gamma 90.00
_symmetry_space_group_name_H-M 'P m m a'
_symmetry_Int_Tables_number 51
_symmetry_space_group_name_Hall '-P 2a 2a'
loop_
_atom_site_label
_atom_site_fract_x
_atom_site_fract_y
_atom_site_fract_z
Er1 0.250 0.000 0.005
Al1 0.000 0.500 0.000
Os1 0.250 0.500 0.503
# * M_tot: 0.0 μB per formula unit
# * density of states at the Fermi level: 1.6 states/eV/f.u.
# * DFT formation energy: -59 kJ/mol of formula units

No. 5
# Er3Al12Os4 PBE-GGA relaxed
data_Er3Al12Os4
_cell_length_a 8.7829
_cell_length_b 8.7829
_cell_length_c 9.5854
_cell_angle_alpha 90.00
_cell_angle_beta 90.00
_cell_angle_gamma 120.00
_symmetry_space_group_name_H-M 'P 63/m m c'
_symmetry_Int_Tables_number 194
_symmetry_space_group_name_Hall '-P 6c 2c'
loop_
_atom_site_label
_atom_site_fract_x
_atom_site_fract_y
_atom_site_fract_z
Er1 0.1944 0.3887 0.2500
Al1 0.0000 0.0000 0.2500
Al2 0.1234 0.5617 0.7500
Al3 0.1635 0.3271 0.5759
Al4 0.3333 0.6667 0.0200
Os1 0.0000 0.0000 0.0000
Os2 0.0000 0.5000 0.0000
# * M_tot: 0.0 μB per formula unit
# * density of states at the Fermi level: 11.3 states/eV/f.u.
# * DFT formation energy: -1080 kJ/mol of formula units

No. 6
# PmErAlOs PBE-GGA relaxed
data_PmErAlOs
_cell_length_a 7.056
_cell_length_b 7.056
_cell_length_c 7.056
_cell_angle_alpha 90.00
_cell_angle_beta 90.00
_cell_angle_gamma 90.00
_symmetry_space_group_name_H-M 'F -4 3 m'
_symmetry_Int_Tables_number 216
_symmetry_space_group_name_Hall 'F -4 2 3'
loop_
_atom_site_label
_atom_site_fract_x
_atom_site_fract_y
_atom_site_fract_z
Pm1 0.000 0.000 0.000
Er1 0.000 0.000 0.500
Al1 0.250 0.250 0.250
Os1 0.250 0.250 0.750
# * M_tot: 0.0 μB per formula unit
# * density of states at the Fermi level: 1.5 states/eV/f.u.
# * DFT formation energy: -77 kJ/mol of formula units